Computed, not measured: a relaxed LiSn8Pd2 crystal at the PBE level of DFT.

extended XYZ file:
```
11
Lattice="3.911 -6.526 0.000 3.911 6.526 0.000 -0.330 0.000 5.319" Properties=species:S:1:pos:R:3 pbc="T T T"
Li 0.000 0.000 0.000
Sn 1.179 1.708 3.425
Sn 3.911 3.013 0.000
Sn 1.179 -1.708 3.425
Sn 2.798 0.000 1.169
Sn 4.694 0.000 4.150
Sn 6.313 1.708 1.894
Sn 3.911 -3.013 0.000
Sn 6.313 -1.708 1.894
Pd 3.746 2.222 2.659
Pd 3.746 -2.222 2.659
```

Output
* ΔH_f (0 K): -188.8 meV/atom
* D(E_F): 5.0 states/eV/f.u.